Density functional theory data (PBE) for a geometry-optimized RbCoSb2 structure.

Calculated values
Its energy above the lowest structure with this stoichiometry is 0 meV per atom. The calculation puts the raw formation energy at -61 kJ/mol of formula units. For the total magnetization, the calculation gives 0.00 μB per cell.

Unit cell a=4.1437 b=4.1437 c=7.9622 alpha=74.92 beta=74.92 gamma=60.00
Sites, in units of the cell vectors:
Sb: 0.2885 0.2885 0.1344
Sb: 0.7115 0.7115 0.8656
Co: 0.0000 0.0000 0.0000
Rb: 0.5000 0.5000 0.5000

Density functional theory data (PBE) for a geometry-optimized MgCdIr2 structure.

Calculated values
The value obtained for the formation energy from the elements is 1.7 kJ/mol of atoms. For the total magnetization, the calculation gives 0.00 μB per cell.

Unit cell a=9.1655 b=9.1655 c=9.1655 alpha=18.09 beta=18.09 gamma=18.09
Sites, in units of the cell vectors:
Cd: 0.7500 0.7500 0.7500
Ir: 0.9965 0.9965 0.9965
Ir: 0.5035 0.5035 0.5035
Mg: 0.2500 0.2500 0.2500

Density functional theory data (PBE) for a geometry-optimized SiRu2Rh structure.

Calculated values
The calculation puts the raw formation energy at -30 kJ/mol of formula units. For the total magnetization, the calculation gives 0.00 μB per cell.

Unit cell a=2.7672 b=3.6196 c=5.4414 alpha=90.00 beta=90.00 gamma=90.00
Sites, in units of the cell vectors:
Rh: 0.5000 0.5000 0.7500
Ru: 0.0000 0.0000 0.0116
Ru: 0.0000 0.0000 0.4884
Si: 0.5000 0.5000 0.2500

Density functional theory data (PBE) for a geometry-optimized RePtCl2 structure.

Calculated values
Its energy above the lowest structure with this stoichiometry is 187 meV per atom. The calculation puts the raw formation energy at 80 kJ/mol of formula units. For the total magnetization, the calculation gives 0.81 μB per cell.

Unit cell a=7.3614 b=7.3614 c=4.6855 alpha=71.32 beta=71.32 gamma=22.35
Last column: magnetic moment on the atom in μB.
Sites, in units of the cell vectors:
Re: 0.7500 0.7500 0.7500  0.53
Pt: 0.2500 0.2500 0.2500  0.15
Cl: 0.1055 0.1055 0.8954  0.02
Cl: 0.3945 0.3945 0.6046  0.02

Density functional theory data (PBE) for a geometry-optimized Cd2HgBr structure.

Calculated values
Its energy above the lowest structure with this stoichiometry is 39 meV per atom. The calculation puts the raw formation energy at -64 kJ/mol of formula units. For the total magnetization, the calculation gives 0.00 μB per cell.

Unit cell a=3.8279 b=3.4854 c=8.0066 alpha=89.77 beta=90.00 gamma=90.00
Sites, in units of the cell vectors:
Hg: 0.5000 0.2500 0.2500
Br: 0.5000 0.7500 0.7500
Cd: 0.0000 0.7562 0.0296
Cd: 0.0000 0.7438 0.4704

Density functional theory data (PBE) for a geometry-optimized Dy2IrRh structure.

Calculated values
Its energy above the lowest structure with this stoichiometry is 17 meV per atom. The value obtained for the formation energy from the elements is -82.6 kJ/mol of atoms. For the total magnetization, the calculation gives 0.00 μB per cell.

Unit cell a=3.5442 b=4.7624 c=4.7624 alpha=90.00 beta=90.00 gamma=90.00
Sites, in units of the cell vectors:
Ir: 0.5000 0.0000 0.0000
Rh: 0.5000 0.5000 0.5000
Dy: 0.0000 0.0000 0.5000
Dy: 0.0000 0.5000 0.0000

Density functional theory data (PBE) for a geometry-optimized Hg12Bi5Pb3 structure.

Calculated values
The value obtained for the formation energy from the elements is 16.8 kJ/mol of atoms. For the total magnetization, the calculation gives 0.00 μB per cell.

Unit cell a=15.2724 b=15.2724 c=15.2724 alpha=109.47 beta=109.47 gamma=109.47
Sites, in units of the cell vectors:
Pb: 0.7500 0.3750 0.1250
Pb: 0.8750 0.7500 0.1250
Pb: 0.3750 0.7500 0.6250
Pb: 0.2500 0.1250 0.3750
Pb: 0.8750 0.1250 0.2500
Pb: 0.3750 0.6250 0.2500
Pb: 0.6250 0.3750 0.7500
Pb: 0.1250 0.8750 0.7500
Pb: 0.7500 0.8750 0.6250
Pb: 0.6250 0.2500 0.3750
Pb: 0.1250 0.2500 0.8750
Pb: 0.2500 0.6250 0.8750
Bi: 0.1250 0.3750 0.2500
Bi: 0.0000 0.5000 0.0000
Bi: 0.0000 0.0000 0.0000
Bi: 0.3750 0.2500 0.1250
Bi: 0.5000 0.0000 0.5000
Bi: 0.5000 0.5000 0.0000
Bi: 0.1250 0.7500 0.3750
Bi: 0.7500 0.1250 0.8750
Bi: 0.7500 0.6250 0.3750
Bi: 0.3750 0.1250 0.7500
Bi: 0.6250 0.8750 0.2500
Bi: 0.5000 0.5000 0.5000
Bi: 0.5000 0.0000 0.0000
Bi: 0.0000 0.0000 0.5000
Bi: 0.2500 0.3750 0.6250
Bi: 0.2500 0.8750 0.1250
Bi: 0.0000 0.5000 0.5000
Bi: 0.8750 0.2500 0.6250
Bi: 0.6250 0.7500 0.8750
Bi: 0.8750 0.6250 0.7500
Hg: 0.7331 0.1291 0.0605
Hg: 0.3274 0.5605 0.4314
Hg: 0.9395 0.3709 0.2669
Hg: 0.5605 0.2331 0.1291
Hg: 0.6040 0.7331 0.6726
Hg: 0.9395 0.5686 0.1726
Hg: 0.3274 0.7669 0.3960
Hg: 0.0686 0.8960 0.1291
Hg: 0.5686 0.9395 0.6726
Hg: 0.7331 0.6040 0.1726
Hg: 0.7669 0.4395 0.3709
Hg: 0.8274 0.9314 0.0605
Hg: 0.1291 0.7331 0.5605
Hg: 0.3709 0.4314 0.1040
Hg: 0.1040 0.9314 0.3709
Hg: 0.3960 0.1291 0.5686
Hg: 0.1040 0.1726 0.2331
Hg: 0.4395 0.6726 0.0686
Hg: 0.8274 0.8960 0.2669
Hg: 0.1291 0.3960 0.0686
Hg: 0.3709 0.9395 0.7669
Hg: 0.5686 0.6291 0.3960
Hg: 0.9314 0.8274 0.5605
Hg: 0.7669 0.3274 0.8960
Hg: 0.4314 0.3709 0.6040
Hg: 0.0686 0.1726 0.4395
Hg: 0.2331 0.6726 0.1040
Hg: 0.1726 0.1040 0.7331
Hg: 0.6291 0.0605 0.2331
Hg: 0.8709 0.6040 0.9314
Hg: 0.5605 0.3274 0.9314
Hg: 0.6040 0.8709 0.4314
Hg: 0.8960 0.8274 0.7669
Hg: 0.8960 0.0686 0.6291
Hg: 0.8709 0.2669 0.4395
Hg: 0.1726 0.0686 0.9395
Hg: 0.6291 0.5686 0.8960
Hg: 0.4314 0.0605 0.3274
Hg: 0.2669 0.3960 0.8274
Hg: 0.2331 0.5605 0.6291
Hg: 0.9314 0.1040 0.8709
Hg: 0.6726 0.2331 0.6040
Hg: 0.4395 0.7669 0.8709
Hg: 0.0605 0.4314 0.8274
Hg: 0.3960 0.2669 0.3274
Hg: 0.0605 0.6291 0.7331
Hg: 0.6726 0.4395 0.5686
Hg: 0.2669 0.8709 0.9395

Density functional theory data (PBE) for a geometry-optimized Y12H5Ru3 structure.

Calculated values
For the total magnetization, the calculation gives 0.00 μB per cell. The total energy is -6.424 eV/atom.

Unit cell a=13.0862 b=13.0862 c=13.0862 alpha=109.47 beta=109.47 gamma=109.47
Sites, in units of the cell vectors:
Ru: 0.7500 0.3750 0.1250
Ru: 0.8750 0.7500 0.1250
Ru: 0.3750 0.7500 0.6250
Ru: 0.2500 0.1250 0.3750
Ru: 0.8750 0.1250 0.2500
Ru: 0.3750 0.6250 0.2500
Ru: 0.6250 0.3750 0.7500
Ru: 0.1250 0.8750 0.7500
Ru: 0.7500 0.8750 0.6250
Ru: 0.6250 0.2500 0.3750
Ru: 0.1250 0.2500 0.8750
Ru: 0.2500 0.6250 0.8750
H: 0.1250 0.3750 0.2500
H: 0.0000 0.5000 0.0000
H: 0.0000 0.0000 0.0000
H: 0.3750 0.2500 0.1250
H: 0.5000 0.0000 0.5000
H: 0.5000 0.5000 0.0000
H: 0.1250 0.7500 0.3750
H: 0.7500 0.1250 0.8750
H: 0.7500 0.6250 0.3750
H: 0.3750 0.1250 0.7500
H: 0.6250 0.8750 0.2500
H: 0.5000 0.5000 0.5000
H: 0.5000 0.0000 0.0000
H: 0.0000 0.0000 0.5000
H: 0.2500 0.3750 0.6250
H: 0.2500 0.8750 0.1250
H: 0.0000 0.5000 0.5000
H: 0.8750 0.2500 0.6250
H: 0.6250 0.7500 0.8750
H: 0.8750 0.6250 0.7500
Y: 0.7175 0.1232 0.0288
Y: 0.3112 0.5288 0.4056
Y: 0.9712 0.3768 0.2825
Y: 0.5288 0.2175 0.1232
Y: 0.5943 0.7175 0.6888
Y: 0.9712 0.5944 0.1888
Y: 0.3112 0.7825 0.4057
Y: 0.0944 0.9057 0.1232
Y: 0.5944 0.9712 0.6888
Y: 0.7175 0.5943 0.1888
Y: 0.7825 0.4712 0.3768
Y: 0.8112 0.9056 0.0288
Y: 0.1232 0.7175 0.5288
Y: 0.3768 0.4056 0.0943
Y: 0.0943 0.9056 0.3768
Y: 0.4057 0.1232 0.5944
Y: 0.0943 0.1888 0.2175
Y: 0.4712 0.6888 0.0944
Y: 0.8112 0.9057 0.2825
Y: 0.1232 0.4057 0.0944
Y: 0.3768 0.9712 0.7825
Y: 0.5944 0.6232 0.4057
Y: 0.9056 0.8112 0.5288
Y: 0.7825 0.3112 0.9057
Y: 0.4056 0.3768 0.5943
Y: 0.0944 0.1888 0.4712
Y: 0.2175 0.6888 0.0943
Y: 0.1888 0.0943 0.7175
Y: 0.6232 0.0288 0.2175
Y: 0.8768 0.5943 0.9056
Y: 0.5288 0.3112 0.9056
Y: 0.5943 0.8768 0.4056
Y: 0.9057 0.8112 0.7825
Y: 0.9057 0.0944 0.6232
Y: 0.8768 0.2825 0.4712
Y: 0.1888 0.0944 0.9712
Y: 0.6232 0.5944 0.9057
Y: 0.4056 0.0288 0.3112
Y: 0.2825 0.4057 0.8112
Y: 0.2175 0.5288 0.6232
Y: 0.9056 0.0943 0.8768
Y: 0.6888 0.2175 0.5943
Y: 0.4712 0.7825 0.8768
Y: 0.0288 0.4056 0.8112
Y: 0.4057 0.2825 0.3112
Y: 0.0288 0.6232 0.7175
Y: 0.6888 0.4712 0.5944
Y: 0.2825 0.8768 0.9712

Density functional theory data (PBE) for a geometry-optimized AcFe5P3 structure.

Calculated values
The value obtained for the formation energy from the elements is -60.7 kJ/mol of atoms. For the total magnetization, the calculation gives 11.01 μB per cell.

Unit cell a=3.7755 b=6.2875 c=11.1158 alpha=90.00 beta=90.00 gamma=107.47
Last column: magnetic moment on the atom in μB.
Sites, in units of the cell vectors:
Ac: 0.8233 0.6466 0.7500  -0.05
Ac: 0.1767 0.3534 0.2500  -0.05
Fe: 0.8110 0.6219 0.4382  0.19
Fe: 0.1890 0.3781 0.9382  0.19
Fe: 0.0000 0.0000 0.5000  2.26
Fe: 0.0000 0.0000 0.0000  2.26
Fe: 0.4601 0.9202 0.1399  1.52
Fe: 0.5399 0.0798 0.8601  1.52
Fe: 0.5399 0.0798 0.6399  1.52
Fe: 0.8110 0.6219 0.0618  0.19
Fe: 0.1890 0.3781 0.5618  0.19
Fe: 0.4601 0.9202 0.3601  1.52
P: 0.3696 0.7391 0.9641  -0.02
P: 0.8969 0.7938 0.2500  -0.01
P: 0.3696 0.7391 0.5359  -0.02
P: 0.6304 0.2609 0.4641  -0.02
P: 0.1031 0.2062 0.7500  -0.01
P: 0.6304 0.2609 0.0359  -0.02

Density functional theory data (PBE) for a geometry-optimized Tb4HfIn5 structure.

Calculated values
The value obtained for the formation energy from the elements is -35.3 kJ/mol of atoms. For the total magnetization, the calculation gives 0.31 μB per cell.

Unit cell a=3.7756 b=3.7756 c=18.1135 alpha=90.00 beta=90.00 gamma=90.00
Last column: magnetic moment on the atom in μB.
Sites, in units of the cell vectors:
Tb: 0.0000 0.0000 0.1886  0.02
Tb: 0.0000 0.0000 0.3958  0.00
Tb: 0.0000 0.0000 0.6042  0.00
Tb: 0.0000 0.0000 0.8114  0.02
Hf: 0.0000 0.0000 0.0000  0.16
In: 0.5000 0.5000 0.0866  0.01
In: 0.5000 0.5000 0.2928  0.00
In: 0.5000 0.5000 0.5000  0.00
In: 0.5000 0.5000 0.7072  0.00
In: 0.5000 0.5000 0.9134  0.01

Density functional theory data (PBE) for a geometry-optimized Sc3PdO structure.

Calculated values
The calculation puts the raw formation energy at -735 kJ/mol of formula units. For the total magnetization, the calculation gives 0.00 μB per cell.

Unit cell a=4.3651 b=4.3651 c=4.3651 alpha=90.00 beta=90.00 gamma=90.00
Sites, in units of the cell vectors:
Sc: 0.0000 0.5000 0.0000
Sc: 0.0000 0.0000 0.5000
Sc: 0.5000 0.0000 0.0000
O: 0.0000 0.0000 0.0000
Pd: 0.5000 0.5000 0.5000

Density functional theory data (PBE) for a geometry-optimized DyNiSnHg structure.

Calculated values
The value obtained for the formation energy from the elements is -25.1 kJ/mol of atoms. For the total magnetization, the calculation gives 0.00 μB per cell.

Unit cell a=4.9125 b=4.9125 c=4.9125 alpha=60.00 beta=60.00 gamma=60.00
Sites, in units of the cell vectors:
Ni: 0.2500 0.2500 0.2500
Hg: 0.7500 0.7500 0.7500
Sn: 0.0000 0.0000 0.0000
Dy: 0.5000 0.5000 0.5000